NpCd23Hg6: relaxed, GGA-PBE.

a = 10.0661 Å, b = 10.0661 Å, c = 10.0661 Å
α = 60.00°, β = 60.00°, γ = 60.00°
Last column: magnetic moment on the atom in μB.
Positions (direct):
Hg 0.2717 0.2717 0.7283  0.01
Cd 0.0549 0.6484 0.6484  0.01
Hg 0.2717 0.7283 0.2717  0.01
Cd 0.5000 0.0000 0.0000  0.01
Cd 0.0000 0.5000 0.0000  0.01
Cd 0.1244 0.1244 0.6267  0.01
Cd 0.6484 0.6484 0.6484  0.01
Cd 0.8756 0.8756 0.8756  0.01
Cd 0.6484 0.6484 0.0549  0.01
Cd 0.0000 0.5000 0.5000  0.01
Cd 0.5000 0.5000 0.0000  0.01
Cd 0.3516 0.3516 0.3516  0.01
Hg 0.7283 0.2717 0.2717  0.01
Cd 0.1244 0.1244 0.1244  0.01
Cd 0.0000 0.0000 0.0000  0.01
Cd 0.3516 0.3516 0.9451  0.01
Np 0.5000 0.5000 0.5000  4.32
Cd 0.0000 0.0000 0.5000  0.01
Cd 0.9451 0.3516 0.3516  0.01
Cd 0.3733 0.8756 0.8756  0.01
Cd 0.8756 0.3733 0.8756  0.01
Hg 0.7283 0.2717 0.7283  0.01
Cd 0.8756 0.8756 0.3733  0.01
Cd 0.3516 0.9451 0.3516  0.01
Cd 0.6267 0.1244 0.1244  0.01
Cd 0.6484 0.0549 0.6484  0.01
Cd 0.5000 0.0000 0.5000  0.01
Hg 0.2717 0.7283 0.7283  0.01
Hg 0.7283 0.7283 0.2717  0.01
Cd 0.1244 0.6267 0.1244  0.01

Computed properties:
Calculated formation energy   77.7 meV/atom
M_tot   0.184 μB per atom